# 1
Here is a geometry-optimized SiHgSbS2 structure from the Alexandria database. Energies are from PBEsol.

Geometry as extended XYZ:
```
5
Lattice="4.429 0.000 0.000 0.000 4.429 0.000 0.000 0.000 5.448" Properties=species:S:1:pos:R:3 pbc="T T T"
S 0.000 2.215 0.000
S 2.215 0.000 0.000
Si 0.000 0.000 0.000
Hg 2.215 2.215 2.724
Sb 0.000 0.000 2.724
```

Computed properties:
Its formation energy (no corrections) is 0.196 eV/atom.

# 2
Here is a geometry-optimized MgIn2Ag structure from the Alexandria database. Energies are from PBEsol.

Geometry as extended XYZ:
```
4
Lattice="-2.344 -0.155 -2.116 0.734 -5.205 -0.431 -2.267 0.141 4.863" Properties=species:S:1:pos:R:3 pbc="T T T"
In -2.732 -1.405 0.767
In -3.831 -5.148 2.260
Ag -1.126 -3.843 1.529
Mg -0.869 -2.723 -1.199
```

Computed properties:
For the energy of formation, the calculation gives -25 kJ/mol of formula units.

# 3
Here is a geometry-optimized BaCoOs2 structure from the Alexandria database. Energies are from PBEsol.

Geometry as extended XYZ:
```
4
Lattice="-0.090 0.901 2.733 3.440 -2.001 0.772 3.551 4.939 -3.016" Properties=species:S:1:pos:R:3 pbc="T T T"
Ba 1.799 2.962 -0.339
Co 4.656 3.189 -1.835
Os 0.036 0.250 0.485
Os 2.140 0.359 2.037
```

Computed properties:
For the energy of formation, the calculation gives 302 kJ/mol of formula units.

The evaluated total energy for the records listed, in turn: -0.2743 -0.2067 -0.5731 Ry per atom.